A plane-wave DFT calculation with PBE-GGA was carried out for an optimized crystal structure of BaLi3.

Volume ... 32.11 A^3/atom
Calculated formation energy ... 0.04 eV/atom

a b c (Å): 6.8556 8.9966 8.3298
angles (deg): 90.00 90.00 90.00
Element x y z (fractional)
Ba 0.3780 0.9708 0.2500
Li 0.8511 0.1293 0.2500
Ba 0.6220 0.0292 0.7500
Li 0.1489 0.8707 0.7500
Li 0.4149 0.6610 0.9369
Li 0.5851 0.3390 0.0631
Li 0.0851 0.1610 0.9369
Li 0.9149 0.8390 0.0631
Ba 0.8780 0.5292 0.7500
Li 0.3511 0.3707 0.7500
Li 0.6489 0.6293 0.2500
Li 0.9149 0.8390 0.4369
Ba 0.1220 0.4708 0.2500
Li 0.0851 0.1610 0.5631
Li 0.5851 0.3390 0.4369
Li 0.4149 0.6610 0.5631